Compound: Pu2MnCoSi6
Source: Alexandria
Functional: PBE
Structure: relaxed

```
Pu2MnCoSi6
1.0
5.7484 0.0000 0.0000
2.8742 4.9783 0.0000
2.8742 1.6594 11.4501
Pu Mn Co Si
4 2 2 12
Direct
0.8730 0.8730 0.3809
0.1270 0.1270 0.6191
0.7125 0.7125 0.8624
0.2875 0.2875 0.1376
0.5779 0.5779 0.2663
0.4221 0.4221 0.7337
0.0000 0.0000 0.0000
0.5000 0.5000 0.5000
0.9270 0.3453 0.3824
0.3453 0.9270 0.3824
0.3453 0.3453 0.3824
0.0730 0.6547 0.6176
0.6547 0.0730 0.6176
0.6547 0.6547 0.6176
0.7674 0.1939 0.8448
0.1939 0.7674 0.8448
0.1939 0.1939 0.8448
0.2326 0.8061 0.1552
0.8061 0.2326 0.1552
0.8061 0.8061 0.1552
```

formation energy without anion corrections = -3.705 eV/f.u.
DFT total energy = -162.4 eV for the cell shown
theoretical density = 7.808 g cm⁻³
spin magnetization = 0.9423 μB per atom

Compound: PmZrTe3
Source: Alexandria
Functional: PBE
Structure: relaxed

```
PmZrTe3
1.0
-1.4891 -1.3194 -3.6495
8.3652 0.8065 -3.7048
3.1402 -14.4536 3.9439
Pm Zr Te
4 4 12
Direct
0.2500 0.9114 0.3320
0.7500 0.0886 0.6680
0.7500 0.5886 0.8320
0.2500 0.4114 0.1680
0.2500 0.6373 0.5407
0.7500 0.3627 0.4593
0.7500 0.8627 0.0407
0.2500 0.1373 0.9593
0.7500 0.1976 0.2935
0.2500 0.6508 0.9905
0.2500 0.0308 0.1314
0.2500 0.5308 0.3686
0.2500 0.1508 0.5095
0.7500 0.4692 0.6314
0.2500 0.3024 0.7935
0.7500 0.9692 0.8686
0.7500 0.3492 0.0095
0.7500 0.6976 0.2065
0.7500 0.8492 0.4905
0.2500 0.8024 0.7065
```

formation energy without anion corrections = -5.440 eV/f.u.
DFT total energy = -112.7 eV for the cell shown
theoretical density = 7.036 g cm⁻³
spin magnetization = 0.0001 μB per atom

Compound: Ir2Pt6Rh3
Source: Alexandria
Functional: PBE
Structure: relaxed

```
Ir2Pt6Rh3
1.0
-0.4994 -4.1151 2.3076
2.8690 -3.6404 -0.9940
16.4344 0.9295 10.0913
Ir Pt Rh
4 12 6
Direct
0.3317 0.8333 0.9999
0.8350 0.3333 0.4999
0.6683 0.1667 0.0001
0.1650 0.6667 0.5001
0.9591 0.0318 0.8788
0.2878 0.3741 0.8791
0.6316 0.7019 0.8789
0.1303 0.5318 0.3788
0.7875 0.2019 0.3789
0.4590 0.8741 0.3791
0.0409 0.9682 0.1212
0.7122 0.6259 0.1209
0.3684 0.2981 0.1211
0.8697 0.4682 0.6212
0.2125 0.7981 0.6211
0.5410 0.1259 0.6209
0.2499 0.9160 0.7503
0.5833 0.2500 0.7500
0.9162 0.5840 0.7497
0.0838 0.4160 0.2503
0.7501 0.0840 0.2497
0.4167 0.7500 0.2500
```

energy relative to the elements = 140 kJ/mol of formula units
DFT total energy = -149.1 eV for the cell shown
theoretical density = 17.762 g cm⁻³
spin magnetization = 0.0000 μB per atom

Compound: HfFe2Ru
Source: Alexandria
Functional: PBE
Structure: relaxed

```
HfFe2Ru
1.0
3.6384 0.0000 0.0000
0.0000 3.6384 0.0000
1.8192 1.8192 9.5779
Ru Hf Fe
2 2 4
Direct
0.5000 0.5000 0.0000
0.2500 0.7500 0.5000
0.0000 0.0000 0.0000
0.7500 0.2500 0.5000
0.6109 0.1250 0.2500
0.1391 0.6250 0.2500
0.3750 0.3891 0.7500
0.8750 0.8609 0.7500
```

energy relative to the elements = 116 kJ/mol of formula units
DFT total energy = -69.9 eV for the cell shown
theoretical density = 10.248 g cm⁻³
energy above the lowest structure with this stoichiometry = 39.0 kJ/mol of atoms
spin magnetization = 1.2896 μB per atom

Compound: SrSi2Br
Source: Alexandria
Functional: PBE
Structure: relaxed

```
SrSi2Br
1.0
-8.7606 0.3202 3.0045
-9.1433 -1.5068 -0.0870
-8.1728 -3.2422 2.9277
Br Si Sr
1 2 1
Direct
0.7500 0.7500 0.7500
0.0087 0.0087 0.0087
0.4913 0.4913 0.4913
0.2500 0.2500 0.2500
```

formation energy without anion corrections = 2.285 eV/f.u.
DFT total energy = -11.9 eV for the cell shown
theoretical density = 3.642 g cm⁻³
energy above the lowest structure with this stoichiometry = 118.0 kJ/mol of atoms
spin magnetization = 0.0000 μB per atom

Compound: BiSb3Te
Source: Alexandria
Functional: PBE
Structure: relaxed

```
BiSb3Te
1.0
5.6923 0.0000 0.0000
0.0000 5.6923 0.0000
0.0000 0.0000 5.6923
Sb Te Bi
3 1 1
Direct
0.0000 0.5000 0.0000
0.0000 0.0000 0.5000
0.5000 0.0000 0.0000
0.0000 0.0000 0.0000
0.5000 0.5000 0.5000
```

formation energy without anion corrections = 3.913 eV/f.u.
DFT total energy = -15.5 eV for the cell shown
theoretical density = 6.319 g cm⁻³
energy above the lowest structure with this stoichiometry = 0.0 kJ/mol of atoms
spin magnetization = 0.0000 μB per atom